Record 1
{"formula": "Th3FeSi2", "functional": "PBE-GGA", "state": "relaxed", "lattice_angstrom": [[11.752, 0.000, 0.000], [0.000, 4.176, 0.000], [0.000, 0.000, 11.417]], "species": ["Th", "Th", "Th", "Th", "Th", "Th", "Th", "Th", "Th", "Th", "Th", "Th", "Fe", "Fe", "Fe", "Fe", "Si", "Si", "Si", "Si", "Si", "Si", "Si", "Si"], "fractional_positions": [[0.056, 0.250, 0.125], [0.118, 0.750, 0.559], [0.215, 0.250, 0.797], [0.285, 0.750, 0.297], [0.382, 0.250, 0.059], [0.444, 0.750, 0.625], [0.556, 0.250, 0.375], [0.618, 0.750, 0.941], [0.715, 0.250, 0.703], [0.785, 0.750, 0.203], [0.882, 0.250, 0.441], [0.944, 0.750, 0.875], [0.133, 0.250, 0.360], [0.367, 0.750, 0.860], [0.633, 0.250, 0.140], [0.867, 0.750, 0.640], [0.028, 0.750, 0.316], [0.200, 0.750, 0.994], [0.300, 0.250, 0.494], [0.472, 0.250, 0.816], [0.528, 0.750, 0.184], [0.700, 0.750, 0.506], [0.800, 0.250, 0.006], [0.972, 0.250, 0.684]], "mass_density_g_cm3": 9.6, "dos_at_fermi_per_ev_atom": 1.1757, "magmom_total_mub_per_fu": 0.00, "space_group": "Pnma, No. 62", "e_form_raw_mev_per_atom": -563}



Record 2
{"formula": "Sr4PPt3", "functional": "PBE-GGA", "state": "relaxed", "lattice_angstrom": [[4.434, 0.000, 0.000], [0.000, 4.441, 0.000], [0.000, 0.000, 11.082]], "species": ["Sr", "Sr", "Sr", "Sr", "P", "Pt", "Pt", "Pt"], "fractional_positions": [[0.000, 0.000, 0.000], [0.000, 0.500, 0.495], [0.500, 0.000, 0.278], [0.500, 0.500, 0.782], [0.500, 0.000, 0.595], [0.000, 0.000, 0.681], [0.000, 0.500, 0.217], [0.500, 0.500, 0.065]], "mass_density_g_cm3": 7.4, "dos_at_fermi_per_ev_atom": 0.3877, "magmom_total_mub_per_fu": 0.00, "space_group": "Pmm2, No. 25", "formation_energy_ev_per_fu": -7.02}



Record 3
{"formula": "Li2Ag2Pd", "functional": "PBE-GGA", "state": "relaxed", "lattice_angstrom": [[7.015, 0.000, 0.000], [0.000, 7.015, 0.000], [0.000, 0.000, 3.071]], "species": ["Li", "Li", "Li", "Li", "Ag", "Ag", "Ag", "Ag", "Pd", "Pd"], "fractional_positions": [[0.140, 0.360, 0.000], [0.360, 0.860, 0.000], [0.640, 0.140, 0.000], [0.860, 0.640, 0.000], [0.162, 0.662, 0.500], [0.338, 0.162, 0.500], [0.662, 0.838, 0.500], [0.838, 0.338, 0.500], [0.000, 0.000, 0.000], [0.500, 0.500, 0.000]], "mass_density_g_cm3": 7.4, "dos_at_fermi_per_ev_atom": 0.3003, "magmom_total_mub_per_fu": 0.00, "de_polymorph_ev_per_fu": 0.469, "space_group": "P4/mbm, No. 127", "formation_energy_ev_per_fu": -0.78}



Record 4
{"formula": "TlCrH2", "functional": "PBE-GGA", "state": "relaxed", "lattice_angstrom": [[-2.519, 2.519, 4.386], [2.519, -2.519, 4.386], [2.519, 2.519, -4.386]], "species": ["Tl", "Tl", "Cr", "Cr", "H", "H", "H", "H"], "fractional_positions": [[0.000, 0.000, 0.000], [0.750, 0.250, 0.500], [0.250, 0.750, 0.500], [0.500, 0.500, 0.000], [0.296, 0.125, 0.671], [0.375, 0.704, 0.829], [0.454, 0.625, 0.329], [0.875, 0.546, 0.171]], "mass_density_g_cm3": 7.7, "dos_at_fermi_per_ev_atom": 0.4597, "magmom_total_mub_per_fu": 3.46, "de_polymorph_ev_per_fu": 0.000, "space_group": "I-42d, No. 122"}